A relaxed structure of SmCo2SiB, computed with PBE.

The structure belongs to space group I4mm (No. 107); the cell edges are 3.728, 3.728 and 9.976 Å and the angles 90.00°, 90.00° and 90.00°. Symmetry generates all atoms from Sm at (0.000, 0.000, 0.000), Co at (0.000, 0.500, 0.230), Si at (0.000, 0.000, 0.356) and B at (0.000, 0.000, 0.642).

The volume comes out at 138.6 Å³/cell. The calculated total energy is -6.784 eV/atom. The mass density is 7.36 Mg/m³.

---

A relaxed structure of YCo2SiB, computed with PBE.

The structure belongs to space group I4mm (No. 107); the cell edges are 3.731, 3.731 and 9.373 Å and the angles 90.00°, 90.00° and 90.00°. Symmetry generates all atoms from Y at (0.000, 0.000, 0.000), Co at (0.000, 0.500, 0.268), Si at (0.000, 0.000, 0.632) and B at (0.000, 0.000, 0.371).

The volume comes out at 130.5 Å³/cell. The calculated total energy is -7.191 eV/atom. The mass density is 6.25 Mg/m³.

---

A relaxed structure of SmCo4B4, computed with PBE.

The structure belongs to space group P4_2/n (No. 86, origin choice 2); the cell edges are 7.010, 7.010 and 3.800 Å and the angles 90.00°, 90.00° and 90.00°. Symmetry generates all atoms from Sm at (0.250, 0.250, 0.250), Co at (0.108, 0.867, 0.143) and B at (0.048, 0.588, 0.146).

The volume comes out at 186.7 Å³/cell. The calculated total energy is -7.137 eV/atom. The mass density is 7.64 Mg/m³.

---

A relaxed structure of SmCo12B6, computed with PBE.

The structure belongs to space group R-3m (No. 166, hexagonal axes); the cell edges are 9.4144, 9.4144 and 7.4295 Å and the angles 90.00°, 90.00° and 120.00°. Symmetry generates all atoms from Sm at (0.0000, 0.0000, 0.0000), Co at (0.0000, 0.3672, 0.5000), Co at (0.0902, 0.1804, 0.3676) and B at (0.0375, 0.5188, 0.2870).

The volume comes out at 570.3 Å³/cell. The calculated total energy is -7.192 eV/atom. The mass density is 8.06 Mg/m³.

---

A relaxed structure of Sm2Co5B2, computed with PBE.

The structure belongs to space group P6_3/mmc (No. 194); the cell edges are 5.1122, 5.1122 and 20.0466 Å and the angles 90.00°, 90.00° and 120.00°. Symmetry generates all atoms from Sm at (0.3333, 0.6667, 0.0221), Sm at (0.3333, 0.6667, 0.1749), Co at (0.0000, 0.0000, 0.0000), Co at (0.1617, 0.3234, 0.6069), Co at (0.1676, 0.3352, 0.7500), B at (0.0000, 0.0000, 0.1780) and B at (0.3333, 0.6667, 0.6748).

The volume comes out at 453.7 Å³/cell. The calculated total energy is -6.810 eV/atom. The mass density is 9.03 Mg/m³.

---

A relaxed structure of Sm2Co14B, computed with PBE.

The structure belongs to space group P4_2/mnm (No. 136); the cell edges are 8.583, 8.583 and 11.757 Å and the angles 90.00°, 90.00° and 90.00°. Symmetry generates all atoms from Sm at (0.146, 0.146, 0.000), Sm at (0.224, 0.224, 0.500), Co at (0.000, 0.000, 0.383), Co at (0.000, 0.500, 0.000), Co at (0.036, 0.640, 0.178), Co at (0.069, 0.724, 0.373), Co at (0.098, 0.902, 0.204), Co at (0.182, 0.182, 0.253) and B at (0.122, 0.878, 0.500).

The volume comes out at 866.1 Å³/cell. The calculated total energy is -6.939 eV/atom. The mass density is 8.72 Mg/m³.

---

Question: Number 5 is which compound?
Answer: Sm2Co5B2